# TmZr, optimized geometry, DFT GGA-PBE
# **E_tot**: -6.48 eV/atom
# **Calculated density**: 8.203 Mg/m³
# **Crystal system**: orthorhombic
# **Energy of formation from the pure elements**: 0.031 eV/atom
# **Relative energy among the computed polymorphs**: 11 meV/atom
data_TmZr
_cell_length_a 3.3567
_cell_length_b 5.3363
_cell_length_c 11.7608
_cell_angle_alpha 90.00
_cell_angle_beta 90.00
_cell_angle_gamma 90.00
_symmetry_space_group_name_H-M 'P m m n'
_symmetry_Int_Tables_number 59
loop_
_symmetry_equiv_pos_as_xyz
'x,y,z'
'-x,-y,-z'
'-x+1/2,-y+1/2,z'
'x+1/2,y+1/2,-z'
'x+1/2,-y,-z'
'-x+1/2,y,z'
'-x,y+1/2,-z'
'x,-y+1/2,z'
loop_
_atom_site_label
_atom_site_fract_x
_atom_site_fract_y
_atom_site_fract_z
Tm1 0.2500 0.2500 0.0524
Tm2 0.2500 0.7500 0.2207
Zr1 0.2500 0.2500 0.5352
Zr2 0.2500 0.7500 0.6910